Entry 1:
First-principles (PBE-GGA) data for a geometry-optimized Zn3Ru structure, as listed in Alexandria.

Calculated values
N(E_F) = 0.6876 states/eV per atom
Energy relative to the elements = 57 meV/atom
E_tot = -12.87 eV/f.u.

Structure (extended XYZ):
```
4
Lattice="-1.1312 2.4104 -0.7494 -5.7321 -5.5328 -4.0385 -1.7676 1.2849 1.6959" Properties=species:S:1:pos:R:3 pbc="T T T"
Zn -4.3154 -0.9188 -1.5460
Zn -3.5585 1.4195 -0.2728
Ru 0.0000 0.0000 0.0000
Zn -5.0724 -3.2570 -2.8193
```

=====

Entry 2:
First-principles (PBE-GGA) data for a geometry-optimized ZnRu structure, as listed in Alexandria.

Calculated values
N(E_F) = 0.7787 states/eV per atom
Energy relative to the elements = 174 meV/atom
E_tot = -10.20 eV/f.u.

Structure (extended XYZ):
```
12
Lattice="7.7579 0.0000 0.0000 -3.8790 6.7186 0.0000 0.0000 0.0000 4.1406" Properties=species:S:1:pos:R:3 pbc="T T T"
Ru 1.2861 3.7365 1.0351
Zn 5.4803 1.3150 1.0351
Ru 3.8790 0.7544 3.1054
Zn 1.6014 5.4036 3.1054
Ru 0.0000 5.9641 1.0351
Zn -1.6014 5.4036 3.1054
Ru 2.5928 2.9820 3.1054
Zn 3.8790 4.0886 1.0351
Zn 0.0000 2.6299 3.1054
Ru 5.1651 2.9821 3.1054
Ru -1.2861 3.7365 1.0351
Zn 2.2776 1.3150 1.0351
```

=====

Entry 3:
First-principles (PBE-GGA) data for a geometry-optimized Zn3Ru structure, as listed in Alexandria.

Calculated values
N(E_F) = 0.7335 states/eV per atom
Energy relative to the elements = 3 meV/atom
E_tot = -13.08 eV/f.u.

Structure (extended XYZ):
```
4
Lattice="-2.3580 -1.2546 -1.8113 2.1607 -1.8359 -1.5413 -0.7361 -3.9924 3.7236" Properties=species:S:1:pos:R:3 pbc="T T T"
Zn -0.3681 -1.9962 1.8618
Zn -0.6602 -4.5911 1.1644
Zn -0.2732 -2.4919 -0.7934
Ru 0.0000 0.0000 0.0000
```

=====

Entry 4:
First-principles (PBE-GGA) data for a geometry-optimized Zn5Ru structure, as listed in Alexandria.

Calculated values
N(E_F) = 0.3943 states/eV per atom
Energy relative to the elements = 92 meV/atom
E_tot = -15.09 eV/f.u.

Structure (extended XYZ):
```
6
Lattice="3.5188 -1.5505 3.1039 0.3323 1.9471 4.5297 -1.2094 -2.7120 3.9500" Properties=species:S:1:pos:R:3 pbc="T T T"
Zn 1.1560 0.1111 6.6125
Zn 0.3817 -2.2291 6.3213
Zn 2.7566 -1.6458 5.8963
Ru 0.0000 0.0000 0.0000
Zn 0.9891 -0.8669 4.3373
Zn 1.9813 -1.7365 8.6878
```

=====

Entry 5:
First-principles (PBE-GGA) data for a geometry-optimized ZnRu structure, as listed in Alexandria.

Calculated values
N(E_F) = 0.6474 states/eV per atom
Energy relative to the elements = -3 meV/atom
E_tot = -10.56 eV/f.u.

Structure (extended XYZ):
```
4
Lattice="-0.4733 -2.2296 1.5338 2.5797 0.7464 -0.5794 0.1959 4.9081 7.1950" Properties=species:S:1:pos:R:3 pbc="T T T"
Ru 0.0014 0.0356 0.0522
Zn 1.7100 3.4595 5.5566
Ru 1.6096 0.9458 1.8716
Zn 0.0970 2.4299 3.5622
```

=====

Entry 6:
First-principles (PBE-GGA) data for a geometry-optimized Zn2Ru structure, as listed in Alexandria.

Calculated values
N(E_F) = 0.9058 states/eV per atom
Energy relative to the elements = 308 meV/atom
E_tot = -10.90 eV/f.u.

Structure (extended XYZ):
```
6
Lattice="-0.1505 1.6743 1.8646 0.3506 -5.0226 4.5384 6.7192 0.5295 0.0668" Properties=species:S:1:pos:R:3 pbc="T T T"
Ru 0.0000 0.0000 0.0000
Zn 5.1288 0.0481 2.0609
Ru 3.4597 -1.4094 3.2349
Zn 5.2166 -3.3132 3.3962
Zn 1.8532 -1.1799 1.2090
Zn 1.7906 -2.8668 4.4089
```

=====

Entry 7:
First-principles (PBE-GGA) data for a geometry-optimized ZnRu structure, as listed in Alexandria.

Calculated values
N(E_F) = 0.7298 states/eV per atom
Energy relative to the elements = 678 meV/atom
E_tot = -9.19 eV/f.u.

Structure (extended XYZ):
```
4
Lattice="3.8175 0.0000 0.0000 -1.9087 3.3060 0.0000 0.0000 0.0000 5.0980" Properties=species:S:1:pos:R:3 pbc="T T T"
Ru 0.0000 2.2040 1.2745
Ru 1.9087 1.1020 3.8235
Zn 0.0000 0.0000 2.5490
Zn 0.0000 0.0000 0.0000
```

=====

Entry 8:
First-principles (PBE-GGA) data for a geometry-optimized ZnRu4 structure, as listed in Alexandria.

Calculated values
Offset from the most stable computed form = 0.0 kJ per mole of atoms
N(E_F) = 1.3851 states/eV per atom
Energy relative to the elements = 141 meV/atom
E_tot = -37.67 eV/f.u.

Structure (extended XYZ):
```
5
Lattice="-3.0357 3.0357 1.8951 3.0357 -3.0357 1.8951 3.0357 3.0357 -1.8951" Properties=species:S:1:pos:R:3 pbc="T T T"
Ru -0.5907 1.8417 1.8951
Ru 3.6265 1.1940 0.0000
Ru 1.1940 2.4450 0.0000
Ru 1.8417 0.5907 1.8951
Zn 0.0000 0.0000 0.0000
```

=====

Q: Which of these has the lowest E_tot?
A: ZnRu4